(1)
Entry from the Alexandria database: a relaxed structure of CoRuO (GGA+U).

Results
SG: No. 6

abc: 4.7472 2.7673 5.5498
angles: 90.00 90.87 90.00
Fractional coordinates of all 6 atoms:
Co 0.0000 0.0000 0.0000
Co 0.4179 0.5000 0.2420
Ru 0.0268 0.0000 0.4884
Ru 0.3877 0.5000 0.7361
O 0.7011 0.5000 0.9976
O 0.7097 0.5000 0.5071



(2)
Entry from the Alexandria database: a relaxed structure of K4CrO4 (GGA+U).

Results
SG: No. 137

abc: 7.4239 7.4239 6.0688
angles: 90.00 90.00 90.00
Fractional coordinates of all 18 atoms:
K 0.0330 0.2500 0.1310
K 0.2500 0.0330 0.6310
K 0.2500 0.4670 0.6310
K 0.4670 0.2500 0.1310
K 0.5330 0.7500 0.8690
K 0.7500 0.5330 0.3690
K 0.7500 0.9670 0.3690
K 0.9670 0.7500 0.8690
Cr 0.2500 0.7500 0.2500
Cr 0.7500 0.2500 0.7500
O 0.0509 0.7500 0.4262
O 0.2500 0.5509 0.0738
O 0.2500 0.9491 0.0738
O 0.4491 0.7500 0.4262
O 0.5509 0.2500 0.5738
O 0.7500 0.0509 0.9262
O 0.7500 0.4491 0.9262
O 0.9491 0.2500 0.5738



| no. | density of states at the Fermi level (states/eV/atom) | total energy (eV/atom) | total magnetization (μB per formula unit) |
| --- | --- | --- | --- |
| 1 | 0.74 | -6.57 | 2.55 |
| 2 | 0.00 | -5.05 | 2.00 |